(1)
# LiPm2AlO5

A relaxed LiPm2AlO5 crystal (PBE, Alexandria via LeMat-Bulk).

Summary:
* E_form (uncorrected): -2758 meV/atom
* uncorrected energy: -129.540 eV per cell
* SG: P4/mbm (127)

a = 6.6170 Å, b = 6.6170 Å, c = 5.6496 Å
α = 90.00°, β = 90.00°, γ = 90.00°
Positions (direct):
Li1 0.0000 0.0000 0.0000
Li2 0.5000 0.5000 0.0000
Pm1 0.1785 0.3215 0.5000
Pm2 0.3215 0.8215 0.5000
Pm3 0.6785 0.1785 0.5000
Pm4 0.8215 0.6785 0.5000
Al1 0.0000 0.5000 0.0000
Al2 0.5000 0.0000 0.0000
O1 0.0000 0.0000 0.5000
O2 0.1338 0.6338 0.2319
O3 0.1338 0.6338 0.7681
O4 0.3662 0.1338 0.2319
O5 0.3662 0.1338 0.7681
O6 0.5000 0.5000 0.5000
O7 0.6338 0.8662 0.2319
O8 0.6338 0.8662 0.7681
O9 0.8662 0.3662 0.2319
O10 0.8662 0.3662 0.7681

---

(2)
# LiPr2AlO

A relaxed LiPr2AlO crystal (PBE, Alexandria via LeMat-Bulk).

Summary:
* E_form (uncorrected): -1260 meV/atom
* uncorrected energy: -26.472 eV per cell
* SG: P4/mmm (123)

a = 5.0324 Å, b = 5.0324 Å, c = 4.2037 Å
α = 90.00°, β = 90.00°, γ = 90.00°
Positions (direct):
Li1 0.0000 0.0000 0.0000
Pr1 0.0000 0.5000 0.5000
Pr2 0.5000 0.0000 0.5000
Al1 0.5000 0.5000 0.0000
O1 0.0000 0.0000 0.5000

---

(3)
# Li2Pu2AlO6

A relaxed Li2Pu2AlO6 crystal (PBE, Alexandria via LeMat-Bulk).

Summary:
* E_form (uncorrected): -2350 meV/atom
* uncorrected energy: -91.837 eV per cell
* SG: R-3m (166)

a = 5.7195 Å, b = 5.7195 Å, c = 5.7195 Å
α = 58.10°, β = 58.10°, γ = 58.10°
Positions (direct):
Li1 0.0753 0.0753 0.0753
Li2 0.9247 0.9247 0.9247
Pu1 0.2902 0.2902 0.2902
Pu2 0.7098 0.7098 0.7098
Al1 0.5000 0.5000 0.5000
O1 0.2628 0.2628 0.7130
O2 0.2628 0.7130 0.2628
O3 0.2870 0.7372 0.7372
O4 0.7130 0.2628 0.2628
O5 0.7372 0.2870 0.7372
O6 0.7372 0.7372 0.2870

---

(4)
# LiPuAlO4

A relaxed LiPuAlO4 crystal (PBE, Alexandria via LeMat-Bulk).

Summary:
* E_form (uncorrected): -2671 meV/atom
* uncorrected energy: -117.043 eV per cell
* SG: Imma (74)

a = 6.2913 Å, b = 6.2913 Å, c = 6.2913 Å
α = 124.44°, β = 112.68°, γ = 92.80°
Positions (direct):
Li1 0.3580 0.1080 0.2500
Li2 0.6420 0.8920 0.7500
Pu1 0.0000 0.5000 0.5000
Pu2 0.5000 0.5000 0.0000
Al1 0.0000 0.0000 0.5000
Al2 0.0000 0.5000 0.0000
O1 0.1864 0.7493 0.4371
O2 0.1878 0.2507 0.9371
O3 0.2292 0.2427 0.5135
O4 0.2292 0.7157 0.9865
O5 0.7708 0.2843 0.0135
O6 0.7708 0.7573 0.4865
O7 0.8122 0.7493 0.0629
O8 0.8136 0.2507 0.5629

---

(5)
# LiPuAl2O6

A relaxed LiPuAl2O6 crystal (PBE, Alexandria via LeMat-Bulk).

Summary:
* E_form (uncorrected): -2736 meV/atom
* uncorrected energy: -161.675 eV per cell
* SG: C2/c (15)

a = 6.8781 Å, b = 6.8781 Å, c = 5.2260 Å
α = 99.24°, β = 99.24°, γ = 86.43°
Positions (direct):
Li1 0.0724 0.9276 0.7500
Li2 0.9276 0.0724 0.2500
Pu1 0.2746 0.7254 0.2500
Pu2 0.7254 0.2746 0.7500
Al1 0.2086 0.3824 0.6955
Al2 0.3824 0.2086 0.1955
Al3 0.6176 0.7914 0.8045
Al4 0.7914 0.6176 0.3045
O1 0.0126 0.2209 0.6293
O2 0.1503 0.6143 0.8846
O3 0.2209 0.0126 0.1293
O4 0.2889 0.4179 0.3985
O5 0.3857 0.8497 0.6154
O6 0.4179 0.2889 0.8985
O7 0.5821 0.7111 0.1015
O8 0.6143 0.1503 0.3846
O9 0.7111 0.5821 0.6015
O10 0.7791 0.9874 0.8707
O11 0.8497 0.3857 0.1154
O12 0.9874 0.7791 0.3707

---

(6)
# LiPuAl2O8

A relaxed LiPuAl2O8 crystal (PBE, Alexandria via LeMat-Bulk).

Summary:
* E_form (uncorrected): -1891 meV/atom
* uncorrected energy: -86.083 eV per cell
* SG: I-4m2 (119)

a = 5.7187 Å, b = 5.7187 Å, c = 5.7187 Å
α = 108.31°, β = 108.31°, γ = 111.83°
Positions (direct):
Li1 0.0000 0.0000 0.0000
Pu1 0.2500 0.7500 0.5000
Al1 0.5000 0.5000 0.0000
Al2 0.7500 0.2500 0.5000
O1 0.3310 0.1228 0.7917
O2 0.3310 0.5393 0.2083
O3 0.3678 0.0583 0.3095
O4 0.4607 0.6690 0.7917
O5 0.7488 0.0583 0.6905
O6 0.8772 0.6690 0.2083
O7 0.9417 0.2512 0.3095
O8 0.9417 0.6322 0.6905

---

(7)
# LiPuAl4O8

A relaxed LiPuAl4O8 crystal (PBE, Alexandria via LeMat-Bulk).

Summary:
* E_form (uncorrected): -2732 meV/atom
* uncorrected energy: -109.129 eV per cell
* SG: R3m (160)

a = 6.0283 Å, b = 6.0283 Å, c = 6.0283 Å
α = 58.08°, β = 58.08°, γ = 58.08°
Positions (direct):
Li1 0.0000 0.0000 0.0000
Pu1 0.6279 0.6279 0.6279
Al1 0.0006 0.0006 0.5060
Al2 0.0006 0.5060 0.0006
Al3 0.3875 0.3875 0.3875
Al4 0.5060 0.0006 0.0006
O1 0.1929 0.7580 0.7580
O2 0.2458 0.2458 0.2458
O3 0.2587 0.2587 0.7723
O4 0.2587 0.7723 0.2587
O5 0.7580 0.1929 0.7580
O6 0.7580 0.7580 0.1929
O7 0.7723 0.2587 0.2587
O8 0.7720 0.7720 0.7720

---

(8)
# Li2PuAl3O8

A relaxed Li2PuAl3O8 crystal (PBE, Alexandria via LeMat-Bulk).

Summary:
* E_form (uncorrected): -2551 meV/atom
* uncorrected energy: -104.763 eV per cell
* SG: R3m (160)

a = 5.8067 Å, b = 5.8067 Å, c = 5.8067 Å
α = 61.85°, β = 61.85°, γ = 61.85°
Positions (direct):
Li1 0.0000 0.0000 0.0000
Li2 0.3657 0.3657 0.3657
Pu1 0.7862 0.7862 0.7862
Al1 0.3721 0.3721 0.8869
Al2 0.3721 0.8869 0.3721
Al3 0.8869 0.3721 0.3721
O1 0.1024 0.1024 0.5953
O2 0.1024 0.5953 0.1024
O3 0.1333 0.1333 0.1333
O4 0.1910 0.6032 0.6032
O5 0.5953 0.1024 0.1024
O6 0.6032 0.1910 0.6032
O7 0.6032 0.6032 0.1910
O8 0.6228 0.6228 0.6228